[1]
A plane-wave DFT calculation with PBE was carried out for crystalline Ba2BeTc at its relaxed geometry.

Values from the calculation:
- Space-group type: Cm (8)

a b c (Å): 4.184 4.184 9.001
angles (deg): 76.76 76.76 59.95
Last column: magnetic moment on the atom in μB.
Fractional coordinates of all 4 atoms:
Be1 0.542 0.542 0.375  0.00
Ba1 0.957 0.957 0.124  0.01
Ba2 0.793 0.793 0.626  0.01
Tc1 0.208 0.208 0.375  0.37

[2]
A plane-wave DFT calculation with PBE was carried out for crystalline TbScHgPb at its relaxed geometry.

Values from the calculation:
- Space-group type: F-43m (216)

a b c (Å): 5.222 5.222 5.222
angles (deg): 60.00 60.00 60.00
Fractional coordinates of all 4 atoms:
Hg1 0.250 0.250 0.250
Sc1 0.000 0.000 0.000
Pb1 0.750 0.750 0.750
Tb1 0.500 0.500 0.500

Fermi-level density of states for every record listed, in sequence, given in states/eV/cell: 4.28 4.54.
DFT formation energy for every record listed, in sequence, given in eV/atom: 0.407 -0.404.